1.
Computed, not measured: a relaxed structure of Tm3CdGa at the PBE-GGA level of DFT.

The space group is C2/c (No. 15) and the conventional cell measures 17.096, 9.701 and 6.260 Å, with angles of 90.00, 96.80 and 90.00 degrees. Symmetry generates all atoms from Tm at (0.064, 0.243, 0.030), Tm at (0.156, 0.108, 0.603), Tm at (0.163, 0.455, 0.502), Cd at (0.000, 0.004, 0.750), Cd at (0.000, 0.495, 0.750) and Ga at (0.231, 0.182, 0.166).

The calculation puts the volume at 1031 Å³ per cell. For the energy above the most stable polymorph in this dataset, the calculation gives 99.3 meV per atom.

---

2.
Computed, not measured: a relaxed structure of Tm4Cd5Ga2 at the PBE-GGA level of DFT.

The space group is P2/m (No. 10) and the conventional cell measures 7.622, 3.685 and 9.345 Å, with angles of 90.00, 93.38 and 90.00 degrees. Symmetry generates all atoms from Tm at (0.178, 0.000, 0.362), Tm at (0.245, 0.000, 0.932), Cd at (0.169, 0.500, 0.644), Cd at (0.447, 0.500, 0.180), Cd at (0.500, 0.500, 0.500) and Ga at (0.064, 0.500, 0.129).

The calculation puts the volume at 262 Å³ per cell.

---

3.
Computed, not measured: a relaxed structure of Tm2CdGa3 at the PBE-GGA level of DFT.

The space group is Fmmm (No. 69) and the conventional cell measures 7.042, 9.083 and 15.584 Å, with angles of 90.00, 90.00 and 90.00 degrees. Symmetry generates all atoms from Tm at (0.248, 0.000, 0.000), Tm at (0.250, 0.250, 0.250), Cd at (0.000, 0.000, 0.334), Ga at (0.000, 0.000, 0.163) and Ga at (0.000, 0.245, 0.082).

The calculation puts the volume at 997 Å³ per cell.

---

4.
Computed, not measured: a relaxed structure of TmCdGa at the PBE-GGA level of DFT.

The space group is I4mm (No. 107) and the conventional cell measures 3.340, 3.340 and 11.928 Å, with angles of 90.00, 90.00 and 90.00 degrees. Symmetry generates all atoms from Tm at (0.000, 0.000, 0.000), Cd at (0.000, 0.000, 0.689) and Ga at (0.000, 0.000, 0.342).

The calculation puts the volume at 133 Å³ per cell.

---

5.
Computed, not measured: a relaxed structure of TmCdGa2 at the PBE-GGA level of DFT.

The space group is R-3m (No. 166, hexagonal axes) and the conventional cell measures 4.4631, 4.4631 and 14.8266 Å, with angles of 90.00, 90.00 and 120.00 degrees. Symmetry generates all atoms from Tm at (0.0000, 0.0000, 0.0000), Cd at (0.0000, 0.0000, 0.5000) and Ga at (0.0000, 0.0000, 0.2322).

The calculation puts the volume at 256 Å³ per cell. For the energy above the most stable polymorph in this dataset, the calculation gives 111.6 meV per atom.

---

6.
Computed, not measured: a relaxed structure of Tm4CdGa2 at the PBE-GGA level of DFT.

The space group is R-3m (No. 166, hexagonal axes) and the conventional cell measures 5.0050, 5.0050 and 24.1900 Å, with angles of 90.00, 90.00 and 120.00 degrees. Symmetry generates all atoms from Tm at (0.0000, 0.0000, 0.1170), Tm at (0.0000, 0.0000, 0.3698), Cd at (0.0000, 0.0000, 0.5000) and Ga at (0.0000, 0.0000, 0.2485).

The calculation puts the volume at 525 Å³ per cell. For the energy above the most stable polymorph in this dataset, the calculation gives 0.0 meV per atom.

---

7.
Computed, not measured: a relaxed structure of TmCd11Ga at the PBE-GGA level of DFT.

The space group is C2/m (No. 12) and the conventional cell measures 5.891, 14.103 and 7.578 Å, with angles of 90.00, 112.24 and 90.00 degrees. Symmetry generates all atoms from Tm at (0.000, 0.000, 0.000), Cd at (0.000, 0.000, 0.500), Cd at (0.104, 0.395, 0.212), Cd at (0.179, 0.174, 0.352), Cd at (0.250, 0.250, 0.000) and Ga at (0.000, 0.500, 0.500).

The calculation puts the volume at 583 Å³ per cell.

---

8.
Computed, not measured: a relaxed structure of Tm3CdGa at the PBE-GGA level of DFT.

The space group is Cmcm (No. 63) and the conventional cell measures 5.022, 19.976 and 5.018 Å, with angles of 90.00, 90.00 and 90.00 degrees. Symmetry generates all atoms from Tm at (0.000, 0.062, 0.250), Tm at (0.000, 0.250, 0.250), Tm at (0.000, 0.437, 0.250), Cd at (0.000, 0.156, 0.750) and Ga at (0.000, 0.342, 0.750).

The calculation puts the volume at 503 Å³ per cell. For the energy above the most stable polymorph in this dataset, the calculation gives 0.0 meV per atom.

---

9.
Computed, not measured: a relaxed structure of Tm4Cd2Ga at the PBE-GGA level of DFT.

The space group is R-3m (No. 166, hexagonal axes) and the conventional cell measures 5.0913, 5.0913 and 24.9936 Å, with angles of 90.00, 90.00 and 120.00 degrees. Symmetry generates all atoms from Tm at (0.0000, 0.0000, 0.1241), Tm at (0.0000, 0.0000, 0.3750), Cd at (0.0000, 0.0000, 0.2501) and Ga at (0.0000, 0.0000, 0.5000).

The calculation puts the volume at 561 Å³ per cell.

---

10.
Computed, not measured: a relaxed structure of Tm2CdGa at the PBE-GGA level of DFT.

The space group is P4/mmm (No. 123) and the conventional cell measures 3.583, 3.583 and 7.318 Å, with angles of 90.00, 90.00 and 90.00 degrees. Symmetry generates all atoms from Tm at (0.000, 0.000, 0.235), Cd at (0.500, 0.500, 0.500) and Ga at (0.500, 0.500, 0.000).

The calculation puts the volume at 94 Å³ per cell.

---

11.
Computed, not measured: a relaxed structure of Tm4Cd3Ga at the PBE-GGA level of DFT.

The space group is P4/mmm (No. 123) and the conventional cell measures 3.632, 3.632 and 14.759 Å, with angles of 90.00, 90.00 and 90.00 degrees. Symmetry generates all atoms from Tm at (0.000, 0.000, 0.115), Tm at (0.000, 0.000, 0.371), Cd at (0.500, 0.500, 0.245), Cd at (0.500, 0.500, 0.500) and Ga at (0.500, 0.500, 0.000).

The calculation puts the volume at 195 Å³ per cell.

---

12.
Computed, not measured: a relaxed structure of Tm7CdGa5 at the PBE-GGA level of DFT.

The space group is Imm2 (No. 44) and the conventional cell measures 6.135, 10.015 and 10.157 Å, with angles of 90.00, 90.00 and 90.00 degrees. Symmetry generates all atoms from Tm at (0.000, 0.000, 0.000), Tm at (0.000, 0.000, 0.359), Tm at (0.000, 0.322, 0.238), Tm at (0.000, 0.324, 0.711), Tm at (0.000, 0.500, 0.988), Cd at (0.000, 0.000, 0.678), Ga at (0.000, 0.500, 0.476) and Ga at (0.245, 0.243, 0.471).

The calculation puts the volume at 624 Å³ per cell.

---

13.
Computed, not measured: a relaxed structure of Tm6CdGa2 at the PBE-GGA level of DFT.

The space group is Immm (No. 71) and the conventional cell measures 9.486, 9.540 and 10.411 Å, with angles of 90.00, 90.00 and 90.00 degrees. Symmetry generates all atoms from Tm at (0.000, 0.204, 0.179), Tm at (0.184, 0.223, 0.500), Tm at (0.200, 0.500, 0.256), Cd at (0.000, 0.500, 0.000), Cd at (0.000, 0.500, 0.500), Ga at (0.000, 0.000, 0.378) and Ga at (0.149, 0.000, 0.000).

The calculation puts the volume at 942 Å³ per cell.

---

14.
Computed, not measured: a relaxed structure of TmCdGa2 at the PBE-GGA level of DFT.

The space group is P4/mmm (No. 123) and the conventional cell measures 4.391, 4.391 and 4.213 Å, with angles of 90.00, 90.00 and 90.00 degrees. Symmetry generates all atoms from Tm at (0.000, 0.000, 0.000), Cd at (0.500, 0.500, 0.000) and Ga at (0.000, 0.500, 0.500).

The calculation puts the volume at 81 Å³ per cell. For the energy above the most stable polymorph in this dataset, the calculation gives 0.0 meV per atom.

---

15.
Computed, not measured: a relaxed structure of Tm8Cd2Ga at the PBE-GGA level of DFT.

The space group is C2/m (No. 12) and the conventional cell measures 17.700, 5.153 and 6.861 Å, with angles of 90.00, 106.57 and 90.00 degrees. Symmetry generates all atoms from Tm at (0.020, 0.000, 0.271), Tm at (0.092, 0.500, 0.951), Tm at (0.160, 0.500, 0.465), Tm at (0.199, 0.000, 0.799), Cd at (0.185, 0.000, 0.218) and Ga at (0.000, 0.500, 0.500).

The calculation puts the volume at 600 Å³ per cell.

---

16.
Computed, not measured: a relaxed structure of TmCdGa2 at the PBE-GGA level of DFT.

The space group is Pnma (No. 62) and the conventional cell measures 7.747, 4.143 and 10.497 Å, with angles of 90.00, 90.00 and 90.00 degrees. Symmetry generates all atoms from Tm at (0.144, 0.250, 0.141), Cd at (0.009, 0.750, 0.391), Ga at (0.137, 0.250, 0.835) and Ga at (0.233, 0.750, 0.946).

The calculation puts the volume at 337 Å³ per cell. For the energy above the most stable polymorph in this dataset, the calculation gives 32.6 meV per atom.

---

17.
Computed, not measured: a relaxed structure of Tm5CdGa4 at the PBE-GGA level of DFT.

The space group is P4/mmm (No. 123) and the conventional cell measures 3.522, 3.522 and 18.157 Å, with angles of 90.00, 90.00 and 90.00 degrees. Symmetry generates all atoms from Tm at (0.000, 0.000, 0.000), Tm at (0.000, 0.000, 0.195), Tm at (0.000, 0.000, 0.388), Cd at (0.500, 0.500, 0.500), Ga at (0.500, 0.500, 0.097) and Ga at (0.500, 0.500, 0.293).

The calculation puts the volume at 225 Å³ per cell.

---

18.
Computed, not measured: a relaxed structure of Tm8CdGa2 at the PBE-GGA level of DFT.

The space group is C2/m (No. 12) and the conventional cell measures 17.464, 4.912 and 7.082 Å, with angles of 90.00, 104.65 and 90.00 degrees. Symmetry generates all atoms from Tm at (0.030, 0.000, 0.252), Tm at (0.094, 0.500, 0.968), Tm at (0.169, 0.500, 0.452), Tm at (0.194, 0.000, 0.799), Cd at (0.000, 0.500, 0.500) and Ga at (0.196, 0.000, 0.214).

The calculation puts the volume at 588 Å³ per cell.

---

19.
Computed, not measured: a relaxed structure of Tm2Cd3Ga at the PBE-GGA level of DFT.

The space group is Pmm2 (No. 25) and the conventional cell measures 3.449, 4.801 and 8.309 Å, with angles of 90.00, 90.00 and 90.00 degrees. Symmetry generates all atoms from Tm at (0.000, 0.000, 0.000), Tm at (0.000, 0.500, 0.474), Cd at (0.500, 0.000, 0.648), Cd at (0.500, 0.500, 0.154), Cd at (0.500, 0.500, 0.816) and Ga at (0.500, 0.000, 0.320).

The calculation puts the volume at 138 Å³ per cell.

---

20.
Computed, not measured: a relaxed structure of Tm3CdGa2 at the PBE-GGA level of DFT.

The space group is P4/mmm (No. 123) and the conventional cell measures 3.454, 3.454 and 11.516 Å, with angles of 90.00, 90.00 and 90.00 degrees. Symmetry generates all atoms from Tm at (0.000, 0.000, 0.000), Tm at (0.000, 0.000, 0.318), Cd at (0.500, 0.500, 0.500) and Ga at (0.500, 0.500, 0.162).

The calculation puts the volume at 137 Å³ per cell.

---

21.
Computed, not measured: a relaxed structure of TmCdGa at the PBE-GGA level of DFT.

The space group is F-43m (No. 216) and the conventional cell measures 6.602, 6.602 and 6.602 Å, with angles of 90.00, 90.00 and 90.00 degrees. Symmetry generates all atoms from Tm at (0.000, 0.000, 0.000), Cd at (0.000, 0.000, 0.500) and Ga at (0.250, 0.250, 0.750).

The calculation puts the volume at 288 Å³ per cell.

---

22.
Computed, not measured: a relaxed structure of TmCdGa at the PBE-GGA level of DFT.

The space group is P-6m2 (No. 187) and the conventional cell measures 4.6390, 4.6390 and 3.5164 Å, with angles of 90.00, 90.00 and 120.00 degrees. Symmetry generates all atoms from Tm at (0.0000, 0.0000, 0.0000), Cd at (0.6667, 0.3333, 0.5000) and Ga at (0.3333, 0.6667, 0.5000).

The calculation puts the volume at 66 Å³ per cell.

---

23.
Computed, not measured: a relaxed structure of Tm11Cd9Ga4 at the PBE-GGA level of DFT.

The space group is Cmmm (No. 65) and the conventional cell measures 14.576, 21.920 and 3.599 Å, with angles of 90.00, 90.00 and 90.00 degrees. Symmetry generates all atoms from Tm at (0.000, 0.000, 0.000), Tm at (0.000, 0.164, 0.000), Tm at (0.000, 0.370, 0.000), Tm at (0.200, 0.500, 0.000), Tm at (0.236, 0.174, 0.000), Cd at (0.000, 0.500, 0.500), Cd at (0.106, 0.264, 0.500), Cd at (0.141, 0.073, 0.500) and Ga at (0.151, 0.400, 0.500).

The calculation puts the volume at 1150 Å³ per cell.

---

| no. | energy of formation (meV per atom) |
| --- | --- |
| 1 | -238 |
| 2 | -342 |
| 3 | -499 |
| 4 | -262 |
| 5 | -291 |
| 6 | -363 |
| 7 | -30 |
| 8 | -338 |
| 9 | -198 |
| 10 | -448 |
| 11 | -375 |
| 12 | -351 |
| 13 | -374 |
| 14 | -403 |
| 15 | -176 |
| 16 | -370 |
| 17 | -518 |
| 18 | -230 |
| 19 | -348 |
| 20 | -478 |
| 21 | -362 |
| 22 | -418 |
| 23 | -378 |